No. 1
## Be2AsAu2 (PBE)

Data for a geometry-optimized Be2AsAu2 structure.

```
data_Be2AsAu2
_cell_length_a 3.399
_cell_length_b 3.399
_cell_length_c 13.298
_cell_angle_alpha 90.00
_cell_angle_beta 90.00
_cell_angle_gamma 90.00
_symmetry_space_group_name_H-M 'I 4/m m m'
_symmetry_Int_Tables_number 139
_symmetry_space_group_name_Hall '-I 4 2'
loop_
_atom_site_label
_atom_site_type_symbol
_atom_site_fract_x
_atom_site_fract_y
_atom_site_fract_z
Be1 Be 0.000 0.500 0.250
As1 As 0.000 0.000 0.000
Au1 Au 0.000 0.000 0.371
```

Values from the calculation:
distance to the lowest polymorph of the same formula = 0 meV per atom
energy of formation = -0.001 eV per atom



No. 2
## BeAsAu2 (PBE)

Data for a geometry-optimized BeAsAu2 structure.

```
data_BeAsAu2
_cell_length_a 8.707
_cell_length_b 2.879
_cell_length_c 5.964
_cell_angle_alpha 90.00
_cell_angle_beta 114.55
_cell_angle_gamma 90.00
_symmetry_space_group_name_H-M 'C 1 m 1'
_symmetry_Int_Tables_number 8
loop_
_symmetry_equiv_pos_as_xyz
'x,y,z'
'x,-y,z'
'x+1/2,y+1/2,z'
'x+1/2,-y+1/2,z'
loop_
_atom_site_label
_atom_site_type_symbol
_atom_site_fract_x
_atom_site_fract_y
_atom_site_fract_z
Be1 Be 0.000 0.000 0.000
As1 As 0.145 0.500 0.358
Au1 Au 0.290 0.000 0.030
Au2 Au 0.474 0.000 0.659
```

Values from the calculation:
distance to the lowest polymorph of the same formula = 22 meV per atom
energy of formation = 0.066 eV per atom



No. 3
## BeAs2Au (PBE)

Data for a geometry-optimized BeAs2Au structure.

```
data_BeAs2Au
_cell_length_a 3.640
_cell_length_b 4.644
_cell_length_c 8.087
_cell_angle_alpha 90.00
_cell_angle_beta 90.00
_cell_angle_gamma 90.00
_symmetry_space_group_name_H-M 'C m m m'
_symmetry_Int_Tables_number 65
_symmetry_space_group_name_Hall '-C 2 2'
loop_
_atom_site_label
_atom_site_type_symbol
_atom_site_fract_x
_atom_site_fract_y
_atom_site_fract_z
Be1 Be 0.000 0.000 0.000
As1 As 0.000 0.500 0.185
Au1 Au 0.000 0.000 0.500
```

Values from the calculation:
energy of formation = 0.330 eV per atom



No. 4
## BeAs2Au (PBE)

Data for a geometry-optimized BeAs2Au structure.

```
data_BeAs2Au
_cell_length_a 4.315
_cell_length_b 3.632
_cell_length_c 4.752
_cell_angle_alpha 90.00
_cell_angle_beta 103.60
_cell_angle_gamma 90.00
_symmetry_space_group_name_H-M 'P 1 2/m 1'
_symmetry_Int_Tables_number 10
loop_
_symmetry_equiv_pos_as_xyz
'x,y,z'
'-x,-y,-z'
'-x,y,-z'
'x,-y,z'
loop_
_atom_site_label
_atom_site_type_symbol
_atom_site_fract_x
_atom_site_fract_y
_atom_site_fract_z
Be1 Be 0.000 0.000 0.000
As1 As 0.254 0.500 0.807
Au1 Au 0.500 0.000 0.500
```

Values from the calculation:
energy of formation = 0.204 eV per atom



No. 5
## BeAsAu2 (PBE)

Data for a geometry-optimized BeAsAu2 structure.

```
data_BeAsAu2
_cell_length_a 2.941
_cell_length_b 4.055
_cell_length_c 11.130
_cell_angle_alpha 90.00
_cell_angle_beta 90.00
_cell_angle_gamma 90.00
_symmetry_space_group_name_H-M 'I m m m'
_symmetry_Int_Tables_number 71
_symmetry_space_group_name_Hall '-I 2 2'
loop_
_atom_site_label
_atom_site_type_symbol
_atom_site_fract_x
_atom_site_fract_y
_atom_site_fract_z
Be1 Be 0.000 0.000 0.000
As1 As 0.000 0.000 0.500
Au1 Au 0.000 0.500 0.321
```

Values from the calculation:
distance to the lowest polymorph of the same formula = 65 meV per atom
energy of formation = 0.110 eV per atom



No. 6
## BeAs2Au (PBE)

Data for a geometry-optimized BeAs2Au structure.

```
data_BeAs2Au
_cell_length_a 3.755
_cell_length_b 4.140
_cell_length_c 9.117
_cell_angle_alpha 90.00
_cell_angle_beta 90.00
_cell_angle_gamma 90.00
_symmetry_space_group_name_H-M 'C m m 2'
_symmetry_Int_Tables_number 35
loop_
_symmetry_equiv_pos_as_xyz
'x,y,z'
'-x,-y,z'
'-x,y,z'
'x,-y,z'
'x+1/2,y+1/2,z'
'-x+1/2,-y+1/2,z'
'-x+1/2,y+1/2,z'
'x+1/2,-y+1/2,z'
loop_
_atom_site_label
_atom_site_type_symbol
_atom_site_fract_x
_atom_site_fract_y
_atom_site_fract_z
Be1 Be 0.000 0.000 0.000
As1 As 0.000 0.000 0.561
As2 As 0.000 0.500 0.186
Au1 Au 0.000 0.500 0.823
```

Values from the calculation:
energy of formation = 0.214 eV per atom



No. 7
## BeAs2Au (PBE)

Data for a geometry-optimized BeAs2Au structure.

```
data_BeAs2Au
_cell_length_a 2.925
_cell_length_b 4.102
_cell_length_c 11.416
_cell_angle_alpha 90.00
_cell_angle_beta 90.00
_cell_angle_gamma 90.00
_symmetry_space_group_name_H-M 'I m m 2'
_symmetry_Int_Tables_number 44
loop_
_symmetry_equiv_pos_as_xyz
'x,y,z'
'-x,-y,z'
'-x,y,z'
'x,-y,z'
'x+1/2,y+1/2,z+1/2'
'-x+1/2,-y+1/2,z+1/2'
'-x+1/2,y+1/2,z+1/2'
'x+1/2,-y+1/2,z+1/2'
loop_
_atom_site_label
_atom_site_type_symbol
_atom_site_fract_x
_atom_site_fract_y
_atom_site_fract_z
Be1 Be 0.000 0.000 0.000
As1 As 0.000 0.000 0.496
As2 As 0.000 0.500 0.317
Au1 Au 0.000 0.500 0.671
```

Values from the calculation:
energy of formation = 0.215 eV per atom



No. 8
## Be3AsAu (PBE)

Data for a geometry-optimized Be3AsAu structure.

```
data_Be3AsAu
_cell_length_a 4.255
_cell_length_b 4.255
_cell_length_c 4.255
_cell_angle_alpha 90.00
_cell_angle_beta 90.00
_cell_angle_gamma 90.00
_symmetry_space_group_name_H-M 'P m -3 m'
_symmetry_Int_Tables_number 221
_symmetry_space_group_name_Hall '-P 4 2 3'
loop_
_atom_site_label
_atom_site_type_symbol
_atom_site_fract_x
_atom_site_fract_y
_atom_site_fract_z
Be1 Be 0.000 0.000 0.500
As1 As 0.000 0.000 0.000
Au1 Au 0.500 0.500 0.500
```

Values from the calculation:
distance to the lowest polymorph of the same formula = 87 meV per atom
energy of formation = 0.738 eV per atom



No. 9
## BeAs2Au (PBE)

Data for a geometry-optimized BeAs2Au structure.

```
data_BeAs2Au
_cell_length_a 5.030
_cell_length_b 5.030
_cell_length_c 2.742
_cell_angle_alpha 90.00
_cell_angle_beta 90.00
_cell_angle_gamma 90.00
_symmetry_space_group_name_H-M 'P 4/m m m'
_symmetry_Int_Tables_number 123
_symmetry_space_group_name_Hall '-P 4 2'
loop_
_atom_site_label
_atom_site_type_symbol
_atom_site_fract_x
_atom_site_fract_y
_atom_site_fract_z
Be1 Be 0.000 0.000 0.000
As1 As 0.000 0.500 0.500
Au1 Au 0.500 0.500 0.000
```

Values from the calculation:
energy of formation = 0.456 eV per atom



No. 10
## Be2AsAu2 (PBE)

Data for a geometry-optimized Be2AsAu2 structure.

```
data_Be2AsAu2
_cell_length_a 7.104
_cell_length_b 7.104
_cell_length_c 2.919
_cell_angle_alpha 90.00
_cell_angle_beta 90.00
_cell_angle_gamma 90.00
_symmetry_space_group_name_H-M 'P 4/m b m'
_symmetry_Int_Tables_number 127
_symmetry_space_group_name_Hall '-P 4 2ab'
loop_
_atom_site_label
_atom_site_type_symbol
_atom_site_fract_x
_atom_site_fract_y
_atom_site_fract_z
Be1 Be 0.143 0.357 0.000
As1 As 0.000 0.000 0.000
Au1 Au 0.147 0.647 0.500
```

Values from the calculation:
distance to the lowest polymorph of the same formula = 126 meV per atom
energy of formation = 0.125 eV per atom



No. 11
## BeAsAu2 (PBE)

Data for a geometry-optimized BeAsAu2 structure.

```
data_BeAsAu2
_cell_length_a 2.842
_cell_length_b 2.842
_cell_length_c 8.094
_cell_angle_alpha 90.00
_cell_angle_beta 90.00
_cell_angle_gamma 90.00
_symmetry_space_group_name_H-M 'P 4 m m'
_symmetry_Int_Tables_number 99
loop_
_symmetry_equiv_pos_as_xyz
'x,y,z'
'-y,x,z'
'-x,-y,z'
'y,-x,z'
'-x,y,z'
'y,x,z'
'x,-y,z'
'-y,-x,z'
loop_
_atom_site_label
_atom_site_type_symbol
_atom_site_fract_x
_atom_site_fract_y
_atom_site_fract_z
Be1 Be 0.000 0.000 0.000
As1 As 0.500 0.500 0.214
Au1 Au 0.000 0.000 0.529
Au2 Au 0.500 0.500 0.818
```

Values from the calculation:
distance to the lowest polymorph of the same formula = 82 meV per atom
energy of formation = 0.127 eV per atom



No. 12
## BeAs2Au (PBE)

Data for a geometry-optimized BeAs2Au structure.

```
data_BeAs2Au
_cell_length_a 5.220
_cell_length_b 7.255
_cell_length_c 3.658
_cell_angle_alpha 90.00
_cell_angle_beta 90.00
_cell_angle_gamma 90.00
_symmetry_space_group_name_H-M 'C m m m'
_symmetry_Int_Tables_number 65
_symmetry_space_group_name_Hall '-C 2 2'
loop_
_atom_site_label
_atom_site_type_symbol
_atom_site_fract_x
_atom_site_fract_y
_atom_site_fract_z
Be1 Be 0.000 0.000 0.000
As1 As 0.250 0.250 0.500
Au1 Au 0.000 0.500 0.000
```

Values from the calculation:
energy of formation = 0.401 eV per atom



No. 13
## BeAs2Au (PBE)

Data for a geometry-optimized BeAs2Au structure.

```
data_BeAs2Au
_cell_length_a 5.190
_cell_length_b 5.190
_cell_length_c 12.147
_cell_angle_alpha 90.00
_cell_angle_beta 90.00
_cell_angle_gamma 90.00
_symmetry_space_group_name_H-M 'I -4 2 d'
_symmetry_Int_Tables_number 122
_symmetry_space_group_name_Hall 'I -4 2bw'
loop_
_atom_site_label
_atom_site_type_symbol
_atom_site_fract_x
_atom_site_fract_y
_atom_site_fract_z
Be1 Be 0.000 0.000 0.000
As1 As 0.195 0.250 0.125
Au1 Au 0.000 0.000 0.500
```

Values from the calculation:
energy of formation = 0.148 eV per atom



No. 14
## BeAs2Au (PBE)

Data for a geometry-optimized BeAs2Au structure.

```
data_BeAs2Au
_cell_length_a 2.801
_cell_length_b 2.801
_cell_length_c 9.005
_cell_angle_alpha 90.00
_cell_angle_beta 90.00
_cell_angle_gamma 90.00
_symmetry_space_group_name_H-M 'P 4 m m'
_symmetry_Int_Tables_number 99
loop_
_symmetry_equiv_pos_as_xyz
'x,y,z'
'-y,x,z'
'-x,-y,z'
'y,-x,z'
'-x,y,z'
'y,x,z'
'x,-y,z'
'-y,-x,z'
loop_
_atom_site_label
_atom_site_type_symbol
_atom_site_fract_x
_atom_site_fract_y
_atom_site_fract_z
Be1 Be 0.000 0.000 0.000
As1 As 0.000 0.000 0.556
As2 As 0.500 0.500 0.184
Au1 Au 0.500 0.500 0.823
```

Values from the calculation:
energy of formation = 0.219 eV per atom



No. 15
## BeAs2Au (PBE)

Data for a geometry-optimized BeAs2Au structure.

```
data_BeAs2Au
_cell_length_a 3.570
_cell_length_b 4.024
_cell_length_c 4.778
_cell_angle_alpha 90.00
_cell_angle_beta 90.00
_cell_angle_gamma 90.00
_symmetry_space_group_name_H-M 'P m m m'
_symmetry_Int_Tables_number 47
loop_
_symmetry_equiv_pos_as_xyz
'x,y,z'
'-x,-y,-z'
'-x,-y,z'
'x,y,-z'
'x,-y,-z'
'-x,y,z'
'-x,y,-z'
'x,-y,z'
loop_
_atom_site_label
_atom_site_type_symbol
_atom_site_fract_x
_atom_site_fract_y
_atom_site_fract_z
Be1 Be 0.000 0.000 0.000
As1 As 0.000 0.500 0.500
As2 As 0.500 0.000 0.500
Au1 Au 0.500 0.500 0.000
```

Values from the calculation:
energy of formation = 0.457 eV per atom



No. 16
## BeAs2Au (PBE)

Data for a geometry-optimized BeAs2Au structure.

```
data_BeAs2Au
_cell_length_a 3.675
_cell_length_b 3.675
_cell_length_c 10.416
_cell_angle_alpha 90.00
_cell_angle_beta 90.00
_cell_angle_gamma 90.00
_symmetry_space_group_name_H-M 'I 4/m m m'
_symmetry_Int_Tables_number 139
_symmetry_space_group_name_Hall '-I 4 2'
loop_
_atom_site_label
_atom_site_type_symbol
_atom_site_fract_x
_atom_site_fract_y
_atom_site_fract_z
Be1 Be 0.000 0.000 0.000
As1 As 0.000 0.500 0.250
Au1 Au 0.000 0.000 0.500
```

Values from the calculation:
energy of formation = 0.453 eV per atom



No. 17
## Be3AsAu (PBE)

Data for a geometry-optimized Be3AsAu structure.

```
data_Be3AsAu
_cell_length_a 4.360
_cell_length_b 4.360
_cell_length_c 4.360
_cell_angle_alpha 90.00
_cell_angle_beta 90.00
_cell_angle_gamma 90.00
_symmetry_space_group_name_H-M 'P m -3 m'
_symmetry_Int_Tables_number 221
_symmetry_space_group_name_Hall '-P 4 2 3'
loop_
_atom_site_label
_atom_site_type_symbol
_atom_site_fract_x
_atom_site_fract_y
_atom_site_fract_z
Be1 Be 0.000 0.000 0.500
As1 As 0.500 0.500 0.500
Au1 Au 0.000 0.000 0.000
```

Values from the calculation:
distance to the lowest polymorph of the same formula = 0 meV per atom
energy of formation = 0.650 eV per atom



No. 18
## BeAs2Au (PBE)

Data for a geometry-optimized BeAs2Au structure.

```
data_BeAs2Au
_cell_length_a 4.181
_cell_length_b 4.181
_cell_length_c 7.801
_cell_angle_alpha 90.00
_cell_angle_beta 90.00
_cell_angle_gamma 90.00
_symmetry_space_group_name_H-M 'I -4 m 2'
_symmetry_Int_Tables_number 119
_symmetry_space_group_name_Hall 'I -4 -2'
loop_
_atom_site_label
_atom_site_type_symbol
_atom_site_fract_x
_atom_site_fract_y
_atom_site_fract_z
Be1 Be 0.000 0.000 0.000
As1 As 0.000 0.000 0.500
As2 As 0.000 0.500 0.750
Au1 Au 0.000 0.500 0.250
```

Values from the calculation:
energy of formation = 0.467 eV per atom



No. 19
## BeAsAu2 (PBE)

Data for a geometry-optimized BeAsAu2 structure.

```
data_BeAsAu2
_cell_length_a 3.0230
_cell_length_b 3.0230
_cell_length_c 24.7764
_cell_angle_alpha 90.00
_cell_angle_beta 90.00
_cell_angle_gamma 120.00
_symmetry_space_group_name_H-M 'R -3 m'
_symmetry_Int_Tables_number 166
_symmetry_space_group_name_Hall '-R 3 2"'
loop_
_atom_site_label
_atom_site_type_symbol
_atom_site_fract_x
_atom_site_fract_y
_atom_site_fract_z
Be1 Be 0.0000 0.0000 0.0000
As1 As 0.0000 0.0000 0.5000
Au1 Au 0.0000 0.0000 0.2643
```

Values from the calculation:
distance to the lowest polymorph of the same formula = 78 meV per atom
energy of formation = 0.122 eV per atom



No. 20
## Be8As6Au (PBE)

Data for a geometry-optimized Be8As6Au structure.

```
data_Be8As6Au
_cell_length_a 6.5004
_cell_length_b 6.5004
_cell_length_c 12.7550
_cell_angle_alpha 90.00
_cell_angle_beta 90.00
_cell_angle_gamma 120.00
_symmetry_space_group_name_H-M 'P 63 c m'
_symmetry_Int_Tables_number 185
_symmetry_space_group_name_Hall 'P 6c -2'
loop_
_atom_site_label
_atom_site_type_symbol
_atom_site_fract_x
_atom_site_fract_y
_atom_site_fract_z
Be1 Be 0.0000 0.3304 0.0000
Be2 Be 0.0000 0.3376 0.6557
Be3 Be 0.3333 0.6667 0.2572
As1 As 0.0000 0.0000 0.1116
As2 As 0.0000 0.3745 0.8268
As3 As 0.3333 0.6667 0.0714
Au1 Au 0.0000 0.0000 0.4071
```

Values from the calculation:
energy of formation = 0.008 eV per atom